1.
{"formula": "Mg2InMo", "functional": "GGA-PBE", "state": "optimized geometry", "total_energy_ev_per_cell": -15.78, "formation_enthalpy_0k_kj_per_mol_atoms": 23.7, "spacegroup": "Pmm2", "lattice": [[4.854, 0.000, 0.000], [0.000, 2.969, -0.269], [0.000, 0.486, 5.325]], "species": ["Mo", "In", "Mg", "Mg"], "fractional_positions": [[0.000, 0.375, 0.535], [0.500, 0.874, 0.696], [0.000, 0.876, 0.047], [0.500, 0.375, 0.223]]}

=====

2.
{"formula": "MgIn2Mo", "functional": "GGA-PBE", "state": "optimized geometry", "total_energy_ev_per_cell": -16.61, "formation_enthalpy_0k_kj_per_mol_atoms": 31.1, "spacegroup": "R3m", "lattice": [[10.065, -0.027, -0.016], [9.589, 3.060, -0.016], [9.589, 1.479, 2.678]], "species": ["Mo", "In", "In", "Mg"], "fractional_positions": [[0.751, 0.751, 0.751], [0.249, 0.249, 0.249], [0.007, 0.007, 0.007], [0.493, 0.493, 0.493]]}

=====

3.
{"formula": "Mg2InMo", "functional": "GGA-PBE", "state": "optimized geometry", "total_energy_ev_per_cell": -15.70, "formation_enthalpy_0k_kj_per_mol_atoms": 25.4, "spacegroup": "P4mm", "lattice": [[2.914, 0.000, 0.000], [0.000, 2.914, 0.000], [0.000, 0.000, 9.390]], "species": ["Mg", "Mg", "Mo", "In"], "fractional_positions": [[0.500, 0.500, 0.270], [0.000, 0.000, 0.001], [0.000, 0.000, 0.497], [0.500, 0.500, 0.733]]}

=====

no.,total magnetization (μB per atom)
1,0.000
2,0.000
3,0.000